[1]
Ce2Dy2Rh15 | GGA-PBE | optimized geometry

Cell and atoms, written as extended XYZ:
```
19
Lattice="4.554 2.629 4.517 -4.554 2.629 4.517 0.000 -5.259 4.517" Properties=species:S:1:pos:R:3 pbc="T T T"
Ce 0.000 0.000 1.903
Ce 0.000 0.000 11.649
Dy 0.000 0.000 5.304
Dy 0.000 0.000 8.248
Rh -2.277 -1.315 4.517
Rh 0.000 -2.702 4.368
Rh -2.340 1.351 4.368
Rh -1.429 -2.476 6.776
Rh -2.859 0.000 6.776
Rh -2.340 -1.351 9.184
Rh -2.277 1.315 9.034
Rh 1.429 -2.476 6.776
Rh 0.000 2.629 4.517
Rh -1.429 2.476 6.776
Rh 2.340 1.351 4.368
Rh 2.859 0.000 6.776
Rh 1.429 2.476 6.776
Rh 2.340 -1.351 9.184
Rh 0.000 2.702 9.184
```

Calculated values
Energy of formation (meV/atom): -385
V (A^3/atom): 17.083
Density of states at the Fermi level (states/eV per cell): 23.98
Space group: No. 166



[2]
CeDy3Rh2 | GGA-PBE | optimized geometry

Cell and atoms, written as extended XYZ:
```
12
Lattice="-3.398 6.762 3.535 3.398 -6.762 3.535 3.398 6.762 -3.535" Properties=species:S:1:pos:R:3 pbc="T T T"
Ce 0.000 0.000 0.000
Ce 0.000 0.000 3.535
Dy 3.398 3.494 -1.767
Dy 3.398 0.000 1.767
Dy 0.000 3.268 1.767
Dy 3.398 3.494 1.767
Dy 0.000 6.762 1.767
Dy 0.000 3.268 5.302
Rh 4.968 1.770 0.000
Rh 1.570 4.992 0.000
Rh 1.827 1.770 3.535
Rh -1.570 4.992 3.535
```

Calculated values
Energy of formation (meV/atom): -545
V (A^3/atom): 27.072
Density of states at the Fermi level (states/eV per cell): 19.61
Space group: No. 72



[3]
CeDyRh | GGA-PBE | optimized geometry

Cell and atoms, written as extended XYZ:
```
3
Lattice="4.566 0.000 0.000 -2.283 3.954 0.000 0.000 0.000 4.023" Properties=species:S:1:pos:R:3 pbc="T T T"
Ce 0.000 0.000 0.000
Dy 0.000 2.636 1.772
Rh 2.283 1.318 2.869
```

Calculated values
Energy of formation (meV/atom): -328
V (A^3/atom): 24.215
Energy relative to the lowest polymorph listed for this composition (meV per atom): 151
Density of states at the Fermi level (states/eV per cell): 6.35
Space group: No. 156



[4]
Ce2DyRh2 | GGA-PBE | optimized geometry

Cell and atoms, written as extended XYZ:
```
10
Lattice="7.760 0.000 0.000 0.000 7.760 0.000 0.000 0.000 3.846" Properties=species:S:1:pos:R:3 pbc="T T T"
Ce 1.271 2.609 0.000
Ce 2.609 6.489 0.000
Ce 5.152 1.271 0.000
Ce 6.489 5.152 0.000
Dy 0.000 0.000 1.923
Dy 3.880 3.880 1.923
Rh 1.095 4.975 1.923
Rh 2.785 1.095 1.923
Rh 4.975 6.665 1.923
Rh 6.665 2.785 1.923
```

Calculated values
Energy of formation (meV/atom): -638
V (A^3/atom): 23.159
Energy relative to the lowest polymorph listed for this composition (meV per atom): 0
Density of states at the Fermi level (states/eV per cell): 17.56
Space group: No. 127



[5]
CeDyRh | GGA-PBE | optimized geometry

Cell and atoms, written as extended XYZ:
```
3
Lattice="0.000 3.424 3.424 3.424 0.000 3.424 3.424 3.424 0.000" Properties=species:S:1:pos:R:3 pbc="T T T"
Ce 0.000 0.000 0.000
Dy 3.424 3.424 3.424
Rh 5.135 5.135 5.135
```

Calculated values
Energy of formation (meV/atom): -420
V (A^3/atom): 26.754
Energy relative to the lowest polymorph listed for this composition (meV per atom): 59
Density of states at the Fermi level (states/eV per cell): 8.16
Space group: No. 216



[6]
CeDy2Rh3 | GGA-PBE | optimized geometry

Cell and atoms, written as extended XYZ:
```
12
Lattice="7.425 -2.589 0.000 7.425 2.589 0.000 0.000 0.000 6.584" Properties=species:S:1:pos:R:3 pbc="T T T"
Ce 7.425 1.973 4.938
Ce 7.425 -1.973 1.646
Dy 4.960 0.000 0.000
Dy 4.960 0.000 3.292
Dy 9.890 0.000 0.000
Dy 9.890 0.000 3.292
Rh 2.538 0.002 1.646
Rh 2.538 -0.002 4.938
Rh 7.425 0.650 1.646
Rh 7.425 -0.650 4.938
Rh 12.312 0.002 1.646
Rh 12.312 -0.002 4.938
```

Calculated values
Energy of formation (meV/atom): -749
V (A^3/atom): 21.099
Energy relative to the lowest polymorph listed for this composition (meV per atom): 56
Density of states at the Fermi level (states/eV per cell): 9.34
Space group: No. 63



[7]
Ce2DyRh | GGA-PBE | optimized geometry

Cell and atoms, written as extended XYZ:
```
4
Lattice="1.873 1.082 9.191 -1.873 1.082 9.191 0.000 -2.163 9.191" Properties=species:S:1:pos:R:3 pbc="T T T"
Ce 0.000 0.000 6.361
Ce 0.000 0.000 21.211
Dy 0.000 0.000 0.000
Rh 0.000 0.000 13.786
```

Calculated values
Energy of formation (meV/atom): -240
V (A^3/atom): 27.933
Energy relative to the lowest polymorph listed for this composition (meV per atom): 30
Density of states at the Fermi level (states/eV per cell): 9.68
Space group: No. 166



[8]
CeDy2Rh2 | GGA-PBE | optimized geometry

Cell and atoms, written as extended XYZ:
```
10
Lattice="6.381 -2.812 0.000 6.381 2.812 0.000 -2.637 0.000 7.349" Properties=species:S:1:pos:R:3 pbc="T T T"
Ce 1.837 0.000 0.571
Ce 8.288 0.000 6.779
Dy 0.679 0.000 4.181
Dy 4.291 0.000 5.409
Dy 5.835 0.000 1.941
Dy 9.447 0.000 3.169
Rh -1.810 0.000 5.616
Rh 3.172 0.000 2.719
Rh 6.954 0.000 4.630
Rh 11.935 0.000 1.733
```

Calculated values
Energy of formation (meV/atom): -603
V (A^3/atom): 26.377
Energy relative to the lowest polymorph listed for this composition (meV per atom): 0
Density of states at the Fermi level (states/eV per cell): 12.79
Space group: No. 12